Below is La12TmPb3 after structural relaxation, with properties calculated at the PBE level.

Computed properties:
- calculated total energy (eV/atom) = -4.947
- D(E_F) (states/eV/f.u.) = 21.076
- E_form (eV/atom) = -0.276

Geometry as POSCAR:
```
La12TmPb3
1.0
5.091 0.000 0.000
0.000 5.091 0.000
0.000 0.000 20.566
La Pb Tm
12 3 1
direct
0.500 0.000 0.129 La
0.000 0.500 0.623 La
0.500 0.500 0.000 La
0.500 0.500 0.500 La
0.500 0.000 0.377 La
0.000 0.500 0.871 La
0.500 0.000 0.871 La
0.000 0.500 0.377 La
0.000 0.500 0.129 La
0.500 0.000 0.623 La
0.500 0.500 0.747 La
0.500 0.500 0.253 La
0.000 0.000 0.746 Pb
0.000 0.000 0.500 Pb
0.000 0.000 0.254 Pb
0.000 0.000 0.000 Tm
```